# 1
## Sr6TlAu3 (PBE)

Data for Sr6TlAu3 after structural relaxation.

Its formation energy is -0.559 eV/atom. For the raw total energy, the calculation gives -0.1025 hartree per atom.

Lattice parameters (Å, degrees): 4.5256 13.0859 13.5362 108.52 90.00 90.00
Sites, in units of the cell vectors:
Sr (0.7500, 0.4768, 0.6132)
Sr (0.2500, 0.5232, 0.3868)
Sr (0.7500, 0.9252, 0.0929)
Sr (0.2500, 0.0748, 0.9071)
Sr (0.7500, 0.3893, 0.0502)
Sr (0.2500, 0.6107, 0.9498)
Sr (0.7500, 0.7223, 0.2679)
Sr (0.2500, 0.2777, 0.7321)
Sr (0.7500, 0.1266, 0.4669)
Sr (0.2500, 0.8734, 0.5331)
Sr (0.7500, 0.7968, 0.7577)
Sr (0.2500, 0.2032, 0.2423)
Tl (0.7500, 0.0545, 0.7021)
Tl (0.2500, 0.9455, 0.2979)
Au (0.7500, 0.4466, 0.8355)
Au (0.2500, 0.5534, 0.1645)
Au (0.7500, 0.6851, 0.5069)
Au (0.2500, 0.3149, 0.4931)
Au (0.7500, 0.1598, 0.0756)
Au (0.2500, 0.8402, 0.9244)


# 2
## IrC (PBE)

Data for IrC after structural relaxation.

Its formation energy is 0.902 eV/atom. For the raw total energy, the calculation gives -0.2991 hartree per atom. As for the energy relative to the lowest polymorph listed for this composition: 42.9 kJ per mole of atoms.

Lattice parameters (Å, degrees): 5.3522 5.3522 2.7511 90.00 90.00 120.00
Sites, in units of the cell vectors:
Ir (0.0000, 0.3662, 0.0000)
Ir (0.6338, 0.6338, 0.0000)
Ir (0.3662, 0.0000, 0.0000)
C (0.0000, 0.0000, 0.0000)
C (0.6667, 0.3333, 0.5000)
C (0.3333, 0.6667, 0.5000)


# 3
## NaBeIn2S4 (PBE)

Data for NaBeIn2S4 after structural relaxation.

For the formation energy (no corrections), the calculation gives -720 meV/atom. For the raw total energy, the calculation gives -0.1507 hartree per atom.

Lattice parameters (Å, degrees): 6.3182 6.3182 6.1098 116.17 116.17 98.46
Sites, in units of the cell vectors:
Na (0.0452, 0.0452, 0.0904)
Be (0.4943, 0.4943, 0.9886)
In (0.7663, 0.2663, 0.5326)
In (0.2663, 0.7663, 0.5326)
S (0.5835, 0.5835, 0.7371)
S (0.3903, 0.8009, 0.1912)
S (0.8009, 0.3903, 0.1912)
S (0.1536, 0.1536, 0.7371)


# 4
## Cs2RbHgSe (PBE)

Data for Cs2RbHgSe after structural relaxation.

For the formation energy (no corrections), the calculation gives -594 meV/atom. For the raw total energy, the calculation gives -0.0693 hartree per atom.

Lattice parameters (Å, degrees): 7.0235 7.0235 6.6235 90.00 90.00 90.00
Sites, in units of the cell vectors:
Cs (0.0000, 0.5000, 0.0000)
Cs (0.5000, 0.0000, 0.0000)
Se (0.0000, 0.0000, 0.0000)
Hg (0.5000, 0.5000, 0.5000)
Rb (0.0000, 0.0000, 0.5000)